An optimized crystal structure of PrTmCdTc, computed with PBE. Values from VASP.

```
&SYSTEM
  ibrav = 0, nat = 4, ntyp = 4
/
ATOMIC_SPECIES
Pr 140.91 Pr.upf
Tm 168.93 Tm.upf
Cd 112.41 Cd.upf
Tc 98.00 Tc.upf
CELL_PARAMETERS angstrom
0.000 3.613 3.613
3.613 0.000 3.613
3.613 3.613 0.000
ATOMIC_POSITIONS angstrom
Pr 0.000 0.000 0.000
Tm 3.613 3.613 3.613
Cd 1.807 1.807 1.807
Tc 5.420 5.420 5.420
```

Computed properties:
Theoretical density, g/cm³: 9.16
ΔE_f, meV per atom: -19
Spin magnetization, μB per cell: 0.00

---

An optimized crystal structure of Pr2CdTe, computed with PBE. Values from VASP.

```
&SYSTEM
  ibrav = 0, nat = 4, ntyp = 3
/
ATOMIC_SPECIES
Pr 140.91 Pr.upf
Cd 112.41 Cd.upf
Te 127.60 Te.upf
CELL_PARAMETERS angstrom
2.187 1.263 7.949
-2.187 1.263 7.949
0.000 -2.525 7.949
ATOMIC_POSITIONS angstrom
Pr 0.000 0.000 5.886
Pr 0.000 0.000 17.962
Cd 0.000 0.000 0.000
Te 0.000 0.000 11.924
```

Computed properties:
Formation energy (no corrections), meV/atom: -809
Theoretical density, g/cm³: 6.58
Relative energy among the computed polymorphs, meV/atom: 0
Spin magnetization, μB per cell: 0.00

---

An optimized crystal structure of Pr3CdTe6, computed with PBE. Values from VASP.

```
&SYSTEM
  ibrav = 0, nat = 20, ntyp = 3
/
ATOMIC_SPECIES
Pr 140.91 Pr.upf
Cd 112.41 Cd.upf
Te 127.60 Te.upf
CELL_PARAMETERS angstrom
6.241 -7.397 0.000
6.241 7.397 0.000
0.000 0.000 7.721
ATOMIC_POSITIONS angstrom
Pr 6.241 5.943 3.861
Pr 4.022 1.412 4.713
Pr 4.022 -1.412 0.852
Pr 8.459 1.412 4.713
Pr 8.459 -1.412 0.852
Pr 6.241 -5.943 0.000
Cd 6.241 3.137 1.054
Cd 6.241 -3.137 4.915
Te 3.991 4.004 2.607
Te 2.035 0.606 2.351
Te 2.035 -0.606 6.211
Te 6.241 3.380 5.964
Te 8.490 4.004 2.607
Te 6.241 0.534 2.359
Te 6.241 -0.534 6.220
Te 3.991 -4.004 6.468
Te 6.241 -3.380 2.103
Te 10.446 0.606 2.351
Te 10.446 -0.606 6.211
Te 8.490 -4.004 6.468
```

Computed properties:
Formation energy (no corrections), meV/atom: -1115
Theoretical density, g/cm³: 6.06
Spin magnetization, μB per cell: 0.00

---

An optimized crystal structure of Pr2CdTe, computed with PBE. Values from VASP.

```
&SYSTEM
  ibrav = 0, nat = 4, ntyp = 3
/
ATOMIC_SPECIES
Pr 140.91 Pr.upf
Cd 112.41 Cd.upf
Te 127.60 Te.upf
CELL_PARAMETERS angstrom
2.116 1.222 8.545
-2.116 1.222 8.545
0.000 -2.443 8.545
ATOMIC_POSITIONS angstrom
Pr 0.000 0.000 0.000
Pr 0.000 0.000 4.222
Cd 0.000 0.000 14.911
Te 0.000 0.000 19.218
```

Computed properties:
Formation energy (no corrections), meV/atom: -742
Theoretical density, g/cm³: 6.54
Relative energy among the computed polymorphs, meV/atom: 67
Spin magnetization, μB per cell: 0.00

---

An optimized crystal structure of Pr4CdTe3, computed with PBE. Values from VASP.

```
&SYSTEM
  ibrav = 0, nat = 8, ntyp = 3
/
ATOMIC_SPECIES
Pr 140.91 Pr.upf
Cd 112.41 Cd.upf
Te 127.60 Te.upf
CELL_PARAMETERS angstrom
4.608 -6.405 0.000
4.608 6.405 0.000
0.000 0.000 4.450
ATOMIC_POSITIONS angstrom
Pr 4.608 3.223 0.000
Pr 2.291 0.000 2.225
Pr 6.925 0.000 2.225
Pr 4.608 -3.223 0.000
Cd 0.000 0.000 0.000
Te 2.304 3.203 2.225
Te 2.304 -3.203 2.225
Te 4.608 0.000 0.000
```

Computed properties:
Formation energy (no corrections), meV/atom: -1146
Theoretical density, g/cm³: 6.69
Spin magnetization, μB per cell: 0.00

---

An optimized crystal structure of Pr6Cd5Te, computed with PBE. Values from VASP.

```
&SYSTEM
  ibrav = 0, nat = 12, ntyp = 3
/
ATOMIC_SPECIES
Pr 140.91 Pr.upf
Cd 112.41 Cd.upf
Te 127.60 Te.upf
CELL_PARAMETERS angstrom
-2.765 3.809 8.336
2.765 -3.809 8.336
2.765 3.809 -8.336
ATOMIC_POSITIONS angstrom
Pr 2.765 1.886 -2.755
Pr 0.000 1.879 0.000
Pr 2.765 1.886 2.755
Pr 0.000 1.923 5.581
Pr 0.000 5.740 0.000
Pr 0.000 1.923 11.091
Cd 0.000 0.000 2.975
Cd 2.765 0.000 5.575
Cd 0.000 0.000 8.336
Cd 0.000 3.809 2.761
Cd 0.000 0.000 13.697
Te 2.765 0.000 0.000
```

Computed properties:
Formation energy (no corrections), meV/atom: -463
Theoretical density, g/cm³: 7.26
Spin magnetization, μB per cell: 0.00

---

An optimized crystal structure of Pr2CdTe, computed with PBE. Values from VASP.

```
&SYSTEM
  ibrav = 0, nat = 4, ntyp = 3
/
ATOMIC_SPECIES
Pr 140.91 Pr.upf
Cd 112.41 Cd.upf
Te 127.60 Te.upf
CELL_PARAMETERS angstrom
4.022 0.000 0.000
0.000 4.022 0.000
0.000 0.000 7.282
ATOMIC_POSITIONS angstrom
Pr 0.000 0.000 1.802
Pr 0.000 0.000 5.479
Cd 2.011 2.011 3.641
Te 2.011 2.011 0.000
```

Computed properties:
Formation energy (no corrections), meV/atom: -782
Theoretical density, g/cm³: 7.36
Relative energy among the computed polymorphs, meV/atom: 27
Spin magnetization, μB per cell: 0.00

---

An optimized crystal structure of Pr2Tl3CdTe6, computed with PBE. Values from VASP.

```
&SYSTEM
  ibrav = 0, nat = 12, ntyp = 4
/
ATOMIC_SPECIES
Pr 140.91 Pr.upf
Tl 204.38 Tl.upf
Cd 112.41 Cd.upf
Te 127.60 Te.upf
CELL_PARAMETERS angstrom
3.930 -6.842 0.000
3.930 6.842 0.000
-2.657 0.000 7.947
ATOMIC_POSITIONS angstrom
Pr 3.930 4.589 0.000
Pr 3.930 -4.589 0.000
Tl -1.329 0.000 3.973
Tl 2.602 2.376 3.973
Tl 2.602 -2.376 3.973
Cd 3.930 0.000 0.000
Te 0.012 2.228 6.183
Te 1.365 0.000 1.809
Te 0.012 -2.228 6.183
Te 5.191 2.228 1.764
Te 3.838 0.000 6.137
Te 5.191 -2.228 1.764
```

Computed properties:
Formation energy (no corrections), meV/atom: -758
Theoretical density, g/cm³: 6.89
Spin magnetization, μB per cell: 0.00

---

How do the records compare in density of states at the Fermi level? In the order shown, they have 2.6, 2.2, 10.6, 4.4, 4.4, 12.1, 3.4, 7.3 states/eV/cell.